# 1
Computed, not measured: a geometry-optimized VNi2MoPt structure at the PBE level of DFT.

Lattice parameters (Å, degrees): 4.1945 4.5751 4.1945 90.00 90.00 90.00
With the nearest neighbours (Å) after each atom.
Atoms (fractional coordinates):
Ni 0.0000 0.0000 0.5000  2 V 2.10
Ni 0.5000 0.0000 0.0000  2 V 2.10
Mo 0.5000 0.5000 0.5000  4 Pt 2.97, 8 Ni 3.10
Pt 0.0000 0.5000 0.0000  2 V 2.29
V 0.0000 0.0000 0.0000  4 Ni 2.10, 2 Pt 2.29

Computed properties:
Calculated density, kg/m3: 9476
Space group: P4/mmm
VASP energy, eV/cell: -31.97

***

# 2
Computed, not measured: a geometry-optimized NbS2BrN structure at the PBE level of DFT.

Lattice parameters (Å, degrees): 4.9642 4.9642 3.9746 90.00 90.00 90.00
With the nearest neighbours (Å) after each atom.
Atoms (fractional coordinates):
Nb 0.0000 0.0000 0.0000  2 N 1.99
S 0.0000 0.5000 0.0000  2 Nb 2.48
S 0.5000 0.0000 0.0000  2 Nb 2.48
Br 0.5000 0.5000 0.5000  8 S 3.18, 4 N 3.51
N 0.0000 0.0000 0.5000  2 Nb 1.99

Computed properties:
Calculated density, kg/m3: 4254
Offset from the most stable computed form, eV per atom: 0.000
Space group: P4/mmm
Formation energy (no corrections), meV per atom: 264

***

# 3
Computed, not measured: a geometry-optimized Mg16TaAl12 structure at the PBE level of DFT.

Lattice parameters (Å, degrees): 9.0383 9.0383 9.0383 109.47 109.47 109.47
With the nearest neighbours (Å) after each atom.
Atoms (fractional coordinates):
Mg 0.3167 0.0000 0.6029  5 Al 2.90-3.16, 7 Mg 3.04-3.13
Mg 0.0000 0.0000 0.3433  3 Mg 3.04, 6 Al 3.04, 1 Ta 3.10
Mg 0.6029 0.0000 0.3167  5 Al 2.90-3.16, 7 Mg 3.04-3.13
Mg 0.3433 0.0000 0.0000  3 Mg 3.04, 6 Al 3.04, 1 Ta 3.10
Mg 0.3971 0.7138 0.3971  5 Al 2.90-3.16, 7 Mg 3.04-3.13
Mg 0.6833 0.6833 0.2862  5 Al 2.90-3.16, 7 Mg 3.04-3.13
Mg 0.2862 0.6833 0.6833  5 Al 2.90-3.16, 7 Mg 3.04-3.13
Mg 0.6567 0.6567 0.6567  3 Mg 3.04, 6 Al 3.04, 1 Ta 3.10
Mg 0.0000 0.6029 0.3167  5 Al 2.90-3.16, 7 Mg 3.04-3.13
Mg 0.3167 0.6029 0.0000  5 Al 2.90-3.16, 7 Mg 3.04-3.13
Mg 0.7138 0.3971 0.3971  5 Al 2.90-3.16, 7 Mg 3.04-3.13
Mg 0.3971 0.3971 0.7138  5 Al 2.90-3.16, 7 Mg 3.04-3.13
Mg 0.0000 0.3433 0.0000  3 Mg 3.04, 6 Al 3.04, 1 Ta 3.10
Mg 0.0000 0.3167 0.6029  5 Al 2.90-3.16, 7 Mg 3.04-3.13
Mg 0.6029 0.3167 0.0000  5 Al 2.90-3.16, 7 Mg 3.04-3.13
Mg 0.6833 0.2862 0.6833  5 Al 2.90-3.16, 7 Mg 3.04-3.13
Ta 0.0000 0.0000 0.0000  4 Mg 3.10, 12 Al 3.14
Al 0.8162 0.0000 0.6378  3 Al 2.63-2.71, 1 Mg 2.90
Al 0.6378 0.0000 0.8162  3 Al 2.63-2.71, 1 Mg 2.90
Al 0.1838 0.8216 0.1838  3 Al 2.63-2.71, 1 Mg 2.90
Al 0.0000 0.8162 0.6378  3 Al 2.63-2.71, 1 Mg 2.90
Al 0.6378 0.8162 0.0000  3 Al 2.63-2.71, 1 Mg 2.90
Al 0.0000 0.6378 0.8162  3 Al 2.63-2.71, 1 Mg 2.90
Al 0.8162 0.6378 0.0000  3 Al 2.63-2.71, 1 Mg 2.90
Al 0.1784 0.3622 0.3622  3 Al 2.63-2.71, 1 Mg 2.90
Al 0.3622 0.3622 0.1784  3 Al 2.63-2.71, 1 Mg 2.90
Al 0.8216 0.1838 0.1838  3 Al 2.63-2.71, 1 Mg 2.90
Al 0.1838 0.1838 0.8216  3 Al 2.63-2.71, 1 Mg 2.90
Al 0.3622 0.1784 0.3622  3 Al 2.63-2.71, 1 Mg 2.90

Computed properties:
Calculated density, kg/m3: 2611
Space group: I-43m
VASP energy, eV/cell: -82.21

***

# 4
Computed, not measured: a geometry-optimized AcPmNd5Y2 structure at the PBE level of DFT.

Lattice parameters (Å, degrees): 5.8912 9.3449 12.2700 90.00 90.00 108.37
With the nearest neighbours (Å) after each atom.
Atoms (fractional coordinates):
Ac 0.6141 0.2282 0.9242  2 Y 3.58, 6 Nd 3.58-3.98, 2 Pm 3.83
Ac 0.3859 0.7718 0.4242  2 Y 3.58, 6 Nd 3.58-3.98, 2 Pm 3.83
Pm 0.7477 0.4955 0.4244  9 Nd 3.59-3.88, 3 Y 3.82, 2 Ac 3.83
Pm 0.2523 0.5045 0.9244  9 Nd 3.59-3.88, 3 Y 3.82, 2 Ac 3.83
Nd 0.4203 0.8407 0.0881  5 Nd 3.54-3.96, 1 Pm 3.59, 4 Y 3.61-3.76
Nd 0.7681 0.5361 0.7201  3 Nd 3.22-3.53, 1 Y 3.31
Nd 0.4221 0.8442 0.7652  5 Nd 3.54-3.96, 4 Y 3.58-3.86, 1 Pm 3.59, 1 Ac 3.92
Nd 0.2310 0.4620 0.6292  2 Nd 3.22, 2 Y 3.30-3.50
Nd 0.9385 0.8771 0.5721  3 Y 3.34-3.62, 1 Nd 3.53, 2 Ac 3.58
Nd 0.5797 0.1593 0.5881  5 Nd 3.54-3.96, 1 Pm 3.59, 4 Y 3.61-3.76
Nd 0.2319 0.4639 0.2201  3 Nd 3.22-3.53, 1 Y 3.31
Nd 0.5779 0.1558 0.2652  5 Nd 3.54-3.96, 4 Y 3.58-3.86, 1 Pm 3.59, 1 Ac 3.92
Nd 0.7690 0.5380 0.1292  2 Nd 3.22, 2 Y 3.30-3.50
Nd 0.0615 0.1229 0.0721  3 Y 3.34-3.62, 1 Nd 3.53, 2 Ac 3.58
Y 0.8897 0.7795 0.9242  7 Nd 3.30-3.61, 1 Y 3.56
Y 0.0624 0.1247 0.7767  3 Nd 3.34-3.62, 1 Y 3.56, 2 Ac 3.58
Y 0.1103 0.2205 0.4242  7 Nd 3.30-3.61, 1 Y 3.56
Y 0.9376 0.8753 0.2767  3 Nd 3.34-3.62, 1 Y 3.56, 2 Ac 3.58

Computed properties:
Calculated density, kg/m3: 6585
Space group: Cmc2_1
VASP energy, eV/cell: -89.81